# Li4Ti2Co3Ni3O16 PBEsol optimized geometry
# Calculated volume (A^3/atom): 9.0
# Formation energy without anion corrections (eV per atom): -1.66
# Energy (Ha/atom): -0.2580
# DOS at the Fermi energy (states/eV/cell): 10.32
data_Li4Ti2Co3Ni3O16
_chemical_formula_sum 'Li8 Ti4 Co6 Ni6 O32'
_cell_length_a 9.8032
_cell_length_b 5.6450
_cell_length_c 9.1552
_cell_angle_alpha 90.00
_cell_angle_beta 90.67
_cell_angle_gamma 90.00
_symmetry_space_group_name_H-M 'C 1 m 1'
_symmetry_Int_Tables_number 8
_symmetry_space_group_name_Hall 'C -2y'
loop_
_atom_site_label
_atom_site_fract_x
_atom_site_fract_y
_atom_site_fract_z
Li1 0.0000 0.0000 0.0000
Li2 0.0013 0.0000 0.5009
Li3 0.1653 0.5000 0.6077
Li4 0.3340 0.0000 0.1055
Ti1 0.1703 0.5000 0.0007
Ti2 0.3362 0.0000 0.5037
Co1 0.3304 0.5000 0.2836
Co2 0.4149 0.2463 0.7831
Ni1 0.0851 0.2539 0.2836
Ni2 0.1692 0.0000 0.7841
O1 0.0202 0.5000 0.1638
O2 0.0822 0.2473 0.8989
O3 0.1639 0.0000 0.3983
O4 0.1709 0.5000 0.3870
O5 0.2432 0.2804 0.1622
O6 0.2588 0.2204 0.6643
O7 0.3348 0.5000 0.8959
O8 0.3361 0.0000 0.8859
O9 0.4149 0.2543 0.4000
O10 0.4803 0.0000 0.6643
O11 0.4959 0.5000 0.1912
O12 0.4974 0.5000 0.6915